(1)
# Tb2Dy4YEr2 GGA-PBE optimized geometry
data_Tb2Dy4YEr2
_chemical_formula_sum 'Tb4 Dy8 Y2 Er4'
_cell_length_a 18.572
_cell_length_b 3.577
_cell_length_c 9.490
_cell_angle_alpha 90.00
_cell_angle_beta 115.75
_cell_angle_gamma 90.00
_symmetry_space_group_name_H-M 'C 1 2/m 1'
_symmetry_Int_Tables_number 12
loop_
_symmetry_equiv_pos_as_xyz
'x,y,z'
'-x,-y,-z'
'-x,y,-z'
'x,-y,z'
'x+1/2,y+1/2,z'
'-x+1/2,-y+1/2,-z'
'-x+1/2,y+1/2,-z'
'x+1/2,-y+1/2,z'
loop_
_atom_site_label
_atom_site_fract_x
_atom_site_fract_y
_atom_site_fract_z
_atom_site_occupancy
Tb1 0.148 0.000 0.167 1
Dy1 0.019 0.500 0.834 1
Dy2 0.185 0.000 0.833 1
Y1 0.000 0.000 0.500 1
Er1 0.167 0.500 0.500 1
# Energy relative to the elements: 0.004 eV/atom

(2)
# TbDy6YEr2 GGA-PBE optimized geometry
data_TbDy6YEr2
_chemical_formula_sum 'Tb4 Dy24 Y4 Er8'
_cell_length_a 9.010
_cell_length_b 15.022
_cell_length_c 9.521
_cell_angle_alpha 90.00
_cell_angle_beta 97.43
_cell_angle_gamma 90.00
_symmetry_space_group_name_H-M 'C 1 2/c 1'
_symmetry_Int_Tables_number 15
loop_
_symmetry_equiv_pos_as_xyz
'x,y,z'
'-x,-y,-z'
'-x,y,-z+1/2'
'x,-y,z+1/2'
'x+1/2,y+1/2,z'
'-x+1/2,-y+1/2,-z'
'-x+1/2,y+1/2,-z+1/2'
'x+1/2,-y+1/2,z+1/2'
loop_
_atom_site_label
_atom_site_fract_x
_atom_site_fract_y
_atom_site_fract_z
_atom_site_occupancy
Tb1 0.000 0.091 0.250 1
Dy1 0.062 0.314 0.444 1
Dy2 0.104 0.106 0.620 1
Dy3 0.205 0.274 0.816 1
Y1 0.000 0.476 0.750 1
Er1 0.250 0.054 0.956 1
# Energy relative to the elements: 0.119 eV/atom

(3)
# TbDy2Y2Er4 GGA-PBE optimized geometry
data_TbDy2Y2Er4
_chemical_formula_sum 'Tb1 Dy2 Y2 Er4'
_cell_length_a 6.007
_cell_length_b 6.663
_cell_length_c 8.506
_cell_angle_alpha 78.72
_cell_angle_beta 69.43
_cell_angle_gamma 63.45
_symmetry_space_group_name_H-M 'P -1'
_symmetry_Int_Tables_number 2
loop_
_symmetry_equiv_pos_as_xyz
'x,y,z'
'-x,-y,-z'
loop_
_atom_site_label
_atom_site_fract_x
_atom_site_fract_y
_atom_site_fract_z
_atom_site_occupancy
Tb1 0.000 0.000 0.000 1
Dy1 0.182 0.223 0.555 1
Y1 0.266 0.670 0.660 1
Er1 0.269 0.425 0.120 1
Er2 0.386 0.876 0.234 1
# Energy relative to the elements: 0.092 eV/atom

(4)
# TbDy2Y3Er6 GGA-PBE optimized geometry
data_TbDy2Y3Er6
_chemical_formula_sum 'Tb2 Dy4 Y6 Er12'
_cell_length_a 6.124
_cell_length_b 10.591
_cell_length_c 11.707
_cell_angle_alpha 90.00
_cell_angle_beta 99.98
_cell_angle_gamma 90.00
_symmetry_space_group_name_H-M 'C 1 2/m 1'
_symmetry_Int_Tables_number 12
loop_
_symmetry_equiv_pos_as_xyz
'x,y,z'
'-x,-y,-z'
'-x,y,-z'
'x,-y,z'
'x+1/2,y+1/2,z'
'-x+1/2,-y+1/2,-z'
'-x+1/2,y+1/2,-z'
'x+1/2,-y+1/2,z'
loop_
_atom_site_label
_atom_site_fract_x
_atom_site_fract_y
_atom_site_fract_z
_atom_site_occupancy
Tb1 0.000 0.000 0.000 1
Dy1 0.000 0.333 0.000 1
Y1 0.000 0.167 0.500 1
Y2 0.000 0.500 0.500 1
Er1 0.250 0.000 0.751 1
Er2 0.250 0.167 0.249 1
# Energy relative to the elements: 0.023 eV/atom

(5)
# TbDyErZn GGA-PBE optimized geometry
data_TbDyErZn
_chemical_formula_sum 'Tb1 Dy1 Er1 Zn1'
_cell_length_a 3.553
_cell_length_b 3.553
_cell_length_c 8.583
_cell_angle_alpha 90.00
_cell_angle_beta 90.00
_cell_angle_gamma 90.00
_symmetry_space_group_name_H-M 'P 4 m m'
_symmetry_Int_Tables_number 99
loop_
_symmetry_equiv_pos_as_xyz
'x,y,z'
'-y,x,z'
'-x,-y,z'
'y,-x,z'
'-x,y,z'
'y,x,z'
'x,-y,z'
'-y,-x,z'
loop_
_atom_site_label
_atom_site_fract_x
_atom_site_fract_y
_atom_site_fract_z
_atom_site_occupancy
Tb1 0.000 0.000 0.000 1
Dy1 0.500 0.500 0.705 1
Er1 0.500 0.500 0.293 1
Zn1 0.000 0.000 0.496 1
# ΔE to the lowest computed polymorph: 0 meV per atom
# Energy relative to the elements: -0.162 eV/atom

(6)
# TbDyErZn GGA-PBE optimized geometry
data_TbDyErZn
_chemical_formula_sum 'Tb4 Dy4 Er4 Zn4'
_cell_length_a 7.518
_cell_length_b 7.518
_cell_length_c 7.518
_cell_angle_alpha 90.00
_cell_angle_beta 90.00
_cell_angle_gamma 90.00
_symmetry_space_group_name_H-M 'F -4 3 m'
_symmetry_Int_Tables_number 216
_symmetry_space_group_name_Hall 'F -4 2 3'
loop_
_atom_site_label
_atom_site_fract_x
_atom_site_fract_y
_atom_site_fract_z
_atom_site_occupancy
Tb1 0.000 0.000 0.000 1
Dy1 0.000 0.000 0.500 1
Er1 0.250 0.250 0.250 1
Zn1 0.250 0.250 0.750 1
# ΔE to the lowest computed polymorph: 202 meV per atom
# Energy relative to the elements: 0.039 eV/atom

(7)
# Tb2Dy6Er3Zr GGA-PBE optimized geometry
data_Tb2Dy6Er3Zr
_chemical_formula_sum 'Tb4 Dy12 Er6 Zr2'
_cell_length_a 6.071
_cell_length_b 10.496
_cell_length_c 11.601
_cell_angle_alpha 90.00
_cell_angle_beta 99.94
_cell_angle_gamma 90.00
_symmetry_space_group_name_H-M 'C 1 2/m 1'
_symmetry_Int_Tables_number 12
loop_
_symmetry_equiv_pos_as_xyz
'x,y,z'
'-x,-y,-z'
'-x,y,-z'
'x,-y,z'
'x+1/2,y+1/2,z'
'-x+1/2,-y+1/2,-z'
'-x+1/2,y+1/2,-z'
'x+1/2,-y+1/2,z'
loop_
_atom_site_label
_atom_site_fract_x
_atom_site_fract_y
_atom_site_fract_z
_atom_site_occupancy
Tb1 0.000 0.167 0.000 1
Dy1 0.245 0.336 0.246 1
Dy2 0.245 0.500 0.754 1
Er1 0.000 0.000 0.500 1
Er2 0.000 0.334 0.500 1
Zr1 0.000 0.500 0.000 1
# Energy relative to the elements: 0.044 eV/atom

(8)
# Tb3Dy6Er2Zr GGA-PBE optimized geometry
data_Tb3Dy6Er2Zr
_chemical_formula_sum 'Tb6 Dy12 Er4 Zr2'
_cell_length_a 6.080
_cell_length_b 10.513
_cell_length_c 11.612
_cell_angle_alpha 90.00
_cell_angle_beta 99.97
_cell_angle_gamma 90.00
_symmetry_space_group_name_H-M 'C 1 2/m 1'
_symmetry_Int_Tables_number 12
loop_
_symmetry_equiv_pos_as_xyz
'x,y,z'
'-x,-y,-z'
'-x,y,-z'
'x,-y,z'
'x+1/2,y+1/2,z'
'-x+1/2,-y+1/2,-z'
'-x+1/2,y+1/2,-z'
'x+1/2,-y+1/2,z'
loop_
_atom_site_label
_atom_site_fract_x
_atom_site_fract_y
_atom_site_fract_z
_atom_site_occupancy
Tb1 0.000 0.000 0.000 1
Tb2 0.000 0.333 0.000 1
Dy1 0.245 0.336 0.744 1
Dy2 0.245 0.500 0.257 1
Er1 0.000 0.167 0.500 1
Zr1 0.000 0.500 0.500 1
# Energy relative to the elements: 0.041 eV/atom

(9)
# Tb6Dy3Er2Zr GGA-PBE optimized geometry
data_Tb6Dy3Er2Zr
_chemical_formula_sum 'Tb12 Dy6 Er4 Zr2'
_cell_length_a 6.087
_cell_length_b 10.524
_cell_length_c 11.625
_cell_angle_alpha 90.00
_cell_angle_beta 99.94
_cell_angle_gamma 90.00
_symmetry_space_group_name_H-M 'C 1 2/m 1'
_symmetry_Int_Tables_number 12
loop_
_symmetry_equiv_pos_as_xyz
'x,y,z'
'-x,-y,-z'
'-x,y,-z'
'x,-y,z'
'x+1/2,y+1/2,z'
'-x+1/2,-y+1/2,-z'
'-x+1/2,y+1/2,-z'
'x+1/2,-y+1/2,z'
loop_
_atom_site_label
_atom_site_fract_x
_atom_site_fract_y
_atom_site_fract_z
_atom_site_occupancy
Tb1 0.245 0.000 0.256 1
Tb2 0.245 0.164 0.744 1
Dy1 0.000 0.167 0.000 1
Dy2 0.000 0.500 0.000 1
Er1 0.000 0.333 0.500 1
Zr1 0.000 0.000 0.500 1
# Energy relative to the elements: 0.042 eV/atom

(10)
# DyErTc4 GGA-PBE optimized geometry
data_DyErTc4
_chemical_formula_sum 'Dy4 Er4 Tc16'
_cell_length_a 7.627
_cell_length_b 7.627
_cell_length_c 7.627
_cell_angle_alpha 90.00
_cell_angle_beta 90.00
_cell_angle_gamma 90.00
_symmetry_space_group_name_H-M 'F -4 3 m'
_symmetry_Int_Tables_number 216
_symmetry_space_group_name_Hall 'F -4 2 3'
loop_
_atom_site_label
_atom_site_fract_x
_atom_site_fract_y
_atom_site_fract_z
_atom_site_occupancy
Dy1 0.000 0.000 0.000 1
Er1 0.250 0.250 0.750 1
Tc1 0.125 0.125 0.375 1
# Energy relative to the elements: -0.162 eV/atom

(11)
# DyEr2Tc9 GGA-PBE optimized geometry
data_DyEr2Tc9
_chemical_formula_sum 'Dy3 Er6 Tc27'
_cell_length_a 5.3378
_cell_length_b 5.3378
_cell_length_c 26.1468
_cell_angle_alpha 90.00
_cell_angle_beta 90.00
_cell_angle_gamma 120.00
_symmetry_space_group_name_H-M 'R -3 m'
_symmetry_Int_Tables_number 166
_symmetry_space_group_name_Hall '-R 3 2"'
loop_
_atom_site_label
_atom_site_fract_x
_atom_site_fract_y
_atom_site_fract_z
_atom_site_occupancy
Dy1 0.0000 0.0000 0.0000 1
Er1 0.0000 0.0000 0.1436 1
Tc1 0.0000 0.0000 0.3379 1
Tc2 0.0000 0.0000 0.5000 1
Tc3 0.0103 0.5051 0.9163 1
# Energy relative to the elements: -0.076 eV/atom

(12)
# Dy3ErTc GGA-PBE optimized geometry
data_Dy3ErTc
_chemical_formula_sum 'Dy12 Er4 Tc4'
_cell_length_a 11.638
_cell_length_b 8.598
_cell_length_c 7.883
_cell_angle_alpha 90.00
_cell_angle_beta 132.45
_cell_angle_gamma 90.00
_symmetry_space_group_name_H-M 'C 1 2/m 1'
_symmetry_Int_Tables_number 12
loop_
_symmetry_equiv_pos_as_xyz
'x,y,z'
'-x,-y,-z'
'-x,y,-z'
'x,-y,z'
'x+1/2,y+1/2,z'
'-x+1/2,-y+1/2,-z'
'-x+1/2,y+1/2,-z'
'x+1/2,-y+1/2,z'
loop_
_atom_site_label
_atom_site_fract_x
_atom_site_fract_y
_atom_site_fract_z
_atom_site_occupancy
Dy1 0.053 0.000 0.346 1
Dy2 0.249 0.303 0.792 1
Er1 0.054 0.500 0.257 1
Tc1 0.250 0.000 0.874 1
# ΔE to the lowest computed polymorph: 41 meV per atom
# Energy relative to the elements: -0.030 eV/atom

(13)
# Dy2ErTc GGA-PBE optimized geometry
data_Dy2ErTc
_chemical_formula_sum 'Dy2 Er1 Tc1'
_cell_length_a 3.459
_cell_length_b 3.459
_cell_length_c 8.755
_cell_angle_alpha 90.00
_cell_angle_beta 90.00
_cell_angle_gamma 90.00
_symmetry_space_group_name_H-M 'P 4/m m m'
_symmetry_Int_Tables_number 123
_symmetry_space_group_name_Hall '-P 4 2'
loop_
_atom_site_label
_atom_site_fract_x
_atom_site_fract_y
_atom_site_fract_z
_atom_site_occupancy
Dy1 0.000 0.000 0.188 1
Er1 0.500 0.500 0.500 1
Tc1 0.500 0.500 0.000 1
# ΔE to the lowest computed polymorph: 143 meV per atom
# Energy relative to the elements: 0.032 eV/atom

(14)
# DyErTc GGA-PBE optimized geometry
data_DyErTc
_chemical_formula_sum 'Dy4 Er4 Tc4'
_cell_length_a 4.392
_cell_length_b 18.071
_cell_length_c 3.988
_cell_angle_alpha 90.00
_cell_angle_beta 90.00
_cell_angle_gamma 90.00
_symmetry_space_group_name_H-M 'C m c m'
_symmetry_Int_Tables_number 63
_symmetry_space_group_name_Hall '-C 2c 2'
loop_
_atom_site_label
_atom_site_fract_x
_atom_site_fract_y
_atom_site_fract_z
_atom_site_occupancy
Dy1 0.000 0.085 0.250 1
Er1 0.000 0.302 0.250 1
Tc1 0.000 0.464 0.250 1
# ΔE to the lowest computed polymorph: 92 meV per atom
# Energy relative to the elements: 0.027 eV/atom

(15)
# DyEr2Tc GGA-PBE optimized geometry
data_DyEr2Tc
_chemical_formula_sum 'Dy4 Er8 Tc4'
_cell_length_a 7.436
_cell_length_b 9.062
_cell_length_c 6.199
_cell_angle_alpha 90.00
_cell_angle_beta 90.00
_cell_angle_gamma 90.00
_symmetry_space_group_name_H-M 'P n m a'
_symmetry_Int_Tables_number 62
loop_
_symmetry_equiv_pos_as_xyz
'x,y,z'
'-x,-y,-z'
'-x+1/2,-y,z+1/2'
'x+1/2,y,-z+1/2'
'x+1/2,-y+1/2,-z+1/2'
'-x+1/2,y+1/2,z+1/2'
'-x,y+1/2,-z'
'x,-y+1/2,z'
loop_
_atom_site_label
_atom_site_fract_x
_atom_site_fract_y
_atom_site_fract_z
_atom_site_occupancy
Dy1 0.041 0.250 0.127 1
Er1 0.176 0.063 0.656 1
Tc1 0.116 0.750 0.456 1
# ΔE to the lowest computed polymorph: 0 meV per atom
# Energy relative to the elements: -0.126 eV/atom

(16)
# Dy2ErTc GGA-PBE optimized geometry
data_Dy2ErTc
_chemical_formula_sum 'Dy6 Er3 Tc3'
_cell_length_a 3.4078
_cell_length_b 3.4078
_cell_length_c 32.5971
_cell_angle_alpha 90.00
_cell_angle_beta 90.00
_cell_angle_gamma 120.00
_symmetry_space_group_name_H-M 'R -3 m'
_symmetry_Int_Tables_number 166
_symmetry_space_group_name_Hall '-R 3 2"'
loop_
_atom_site_label
_atom_site_fract_x
_atom_site_fract_y
_atom_site_fract_z
_atom_site_occupancy
Dy1 0.0000 0.0000 0.1043 1
Er1 0.0000 0.0000 0.0000 1
Tc1 0.0000 0.0000 0.5000 1
# ΔE to the lowest computed polymorph: 393 meV per atom
# Energy relative to the elements: 0.282 eV/atom

(17)
# Dy3ErTc GGA-PBE optimized geometry
data_Dy3ErTc
_chemical_formula_sum 'Dy12 Er4 Tc4'
_cell_length_a 12.022
_cell_length_b 3.889
_cell_length_c 12.753
_cell_angle_alpha 90.00
_cell_angle_beta 112.43
_cell_angle_gamma 90.00
_symmetry_space_group_name_H-M 'C 1 m 1'
_symmetry_Int_Tables_number 8
loop_
_symmetry_equiv_pos_as_xyz
'x,y,z'
'x,-y,z'
'x+1/2,y+1/2,z'
'x+1/2,-y+1/2,z'
loop_
_atom_site_label
_atom_site_fract_x
_atom_site_fract_y
_atom_site_fract_z
_atom_site_occupancy
Dy1 0.000 0.000 0.000 1
Dy2 0.026 0.000 0.375 1
Dy3 0.169 0.500 0.239 1
Dy4 0.196 0.500 0.612 1
Dy5 0.225 0.000 0.856 1
Dy6 0.341 0.000 0.139 1
Er1 0.354 0.000 0.475 1
Er2 0.471 0.000 0.756 1
Tc1 0.028 0.000 0.611 1
Tc2 0.167 0.500 0.001 1
# ΔE to the lowest computed polymorph: 0 meV per atom
# Energy relative to the elements: -0.071 eV/atom

(18)
# Dy2Er2Tc GGA-PBE optimized geometry
data_Dy2Er2Tc
_chemical_formula_sum 'Dy8 Er8 Tc4'
_cell_length_a 12.033
_cell_length_b 3.875
_cell_length_c 12.702
_cell_angle_alpha 90.00
_cell_angle_beta 112.45
_cell_angle_gamma 90.00
_symmetry_space_group_name_H-M 'C 1 2/m 1'
_symmetry_Int_Tables_number 12
loop_
_symmetry_equiv_pos_as_xyz
'x,y,z'
'-x,-y,-z'
'-x,y,-z'
'x,-y,z'
'x+1/2,y+1/2,z'
'-x+1/2,-y+1/2,-z'
'-x+1/2,y+1/2,-z'
'x+1/2,-y+1/2,z'
loop_
_atom_site_label
_atom_site_fract_x
_atom_site_fract_y
_atom_site_fract_z
_atom_site_occupancy
Dy1 0.006 0.000 0.166 1
Dy2 0.151 0.500 0.693 1
Er1 0.124 0.000 0.450 1
Er2 0.181 0.500 0.070 1
Tc1 0.181 0.500 0.305 1
# Energy relative to the elements: -0.076 eV/atom

(19)
# DyEr4Tc2 GGA-PBE optimized geometry
data_DyEr4Tc2
_chemical_formula_sum 'Dy2 Er8 Tc4'
_cell_length_a 7.757
_cell_length_b 6.248
_cell_length_c 7.859
_cell_angle_alpha 90.00
_cell_angle_beta 111.88
_cell_angle_gamma 90.00
_symmetry_space_group_name_H-M 'P 1 21/m 1'
_symmetry_Int_Tables_number 11
loop_
_symmetry_equiv_pos_as_xyz
'x,y,z'
'-x,-y,-z'
'-x,y+1/2,-z'
'x,-y+1/2,z'
loop_
_atom_site_label
_atom_site_fract_x
_atom_site_fract_y
_atom_site_fract_z
_atom_site_occupancy
Dy1 0.027 0.250 0.157 1
Er1 0.239 0.501 0.583 1
Er2 0.325 0.750 0.250 1
Er3 0.388 0.250 0.026 1
Tc1 0.034 0.250 0.755 1
Tc2 0.423 0.250 0.383 1
# Energy relative to the elements: -0.056 eV/atom

(20)
# Dy2ErTc GGA-PBE optimized geometry
data_Dy2ErTc
_chemical_formula_sum 'Dy8 Er4 Tc4'
_cell_length_a 7.409
_cell_length_b 9.163
_cell_length_c 6.229
_cell_angle_alpha 90.00
_cell_angle_beta 90.00
_cell_angle_gamma 90.00
_symmetry_space_group_name_H-M 'P n m a'
_symmetry_Int_Tables_number 62
loop_
_symmetry_equiv_pos_as_xyz
'x,y,z'
'-x,-y,-z'
'-x+1/2,-y,z+1/2'
'x+1/2,y,-z+1/2'
'x+1/2,-y+1/2,-z+1/2'
'-x+1/2,y+1/2,z+1/2'
'-x,y+1/2,-z'
'x,-y+1/2,z'
loop_
_atom_site_label
_atom_site_fract_x
_atom_site_fract_y
_atom_site_fract_z
_atom_site_occupancy
Dy1 0.177 0.063 0.159 1
Er1 0.043 0.250 0.629 1
Tc1 0.114 0.750 0.959 1
# ΔE to the lowest computed polymorph: 0 meV per atom
# Energy relative to the elements: -0.111 eV/atom

Number 1: N(E_F) 24.37 states/eV per cell. Number 2: N(E_F) 57.44 states/eV per cell. Number 3: N(E_F) 16.55 states/eV per cell. Number 4: N(E_F) 34.12 states/eV per cell. Number 5: N(E_F) 4.38 states/eV per cell. Number 6: N(E_F) 18.32 states/eV per cell. Number 7: N(E_F) 29.36 states/eV per cell. Number 8: N(E_F) 29.29 states/eV per cell. Number 9: N(E_F) 29.52 states/eV per cell. Number 10: N(E_F) 34.65 states/eV per cell. Number 11: N(E_F) 39.22 states/eV per cell. Number 12: N(E_F) 18.52 states/eV per cell. Number 13: N(E_F) 5.70 states/eV per cell. Number 14: N(E_F) 14.27 states/eV per cell. Number 15: N(E_F) 13.03 states/eV per cell. Number 16: N(E_F) 17.67 states/eV per cell. Number 17: N(E_F) 19.71 states/eV per cell. Number 18: N(E_F) 20.80 states/eV per cell. Number 19: N(E_F) 9.60 states/eV per cell. Number 20: N(E_F) 13.36 states/eV per cell.